Cd4Te3 after structural relaxation. Source: Alexandria via LeMat-Bulk, functional PBE.

The value obtained for the formation energy from raw total energies is -0.149 eV per atom. The electronic total energy comes out at -2.018 eV/atom. For the density of states at the Fermi level, the calculation gives 0.06 states/eV per atom. As for the energy above the most stable polymorph in this dataset: 9.0 meV/atom.

a = 6.1207 Å, b = 6.1207 Å, c = 6.1207 Å
α = 90.00°, β = 90.00°, γ = 90.00°
With the nearest neighbours (Å) after each atom.
Positions (direct):
1 Cd 0.2009 0.2009 0.7991  3 Te 2.87
2 Cd 0.2009 0.7991 0.2009  3 Te 2.87
3 Cd 0.7991 0.2009 0.2009  3 Te 2.87
4 Cd 0.7991 0.7991 0.7991  3 Te 2.87
5 Te 0.0000 0.5000 0.5000  4 Cd 2.87
6 Te 0.5000 0.0000 0.5000  4 Cd 2.87
7 Te 0.5000 0.5000 0.0000  4 Cd 2.87